VASP calculation (PBE-GGA) on a relaxed structure of Tb2As4Au. Values from VASP.

```
&SYSTEM
  ibrav = 0, nat = 7, ntyp = 3
/
ATOMIC_SPECIES
As 74.92 As.upf
Tb 158.93 Tb.upf
Au 196.97 Au.upf
CELL_PARAMETERS angstrom
-1.367 -0.068 -3.774
-2.911 -2.535 1.100
-5.782 7.491 1.959
ATOMIC_POSITIONS angstrom
As -6.252 4.947 2.175
As -2.891 3.746 0.980
As -1.669 1.243 -1.553
As -5.030 2.444 -0.357
Tb -4.960 5.508 -0.437
Tb -2.961 0.683 1.060
Au -2.139 -1.301 -1.337
```

## Properties
* formation energy: -0.821 eV/atom
* Fermi-level density of states: 0.56 states/eV/atom